A geometry-optimized Li8Mg3Cd2 structure, computed with PBE.

abc: 5.754 4.865 9.120
angles: 90.00 92.87 90.00
Space group P2/m (No. 10)
Symmetry-distinct sites (fractional):
Li 0.021 0.000 0.359 (multiplicity 2)
Li 0.160 0.000 0.096 (multiplicity 2)
Li 0.208 0.500 0.607 (multiplicity 2)
Li 0.234 0.500 0.929 (multiplicity 2)
Mg 0.307 0.500 0.277 (multiplicity 2)
Mg 0.500 0.000 0.500 (multiplicity 1)
Cd 0.382 0.000 0.817 (multiplicity 2)

Output
uncorrected energy = -1.7645 eV per atom
excess energy over the best structure of this formula in the dataset = 0.00 eV per formula unit
energy of formation from the pure elements = -0.08 eV per atom
magnetic moment = 0.0 μB/cell